Record 1
Er8PtRh2 | PBE-GGA | optimized geometry

Properties
Magnetization (μB per cell): 0.0
DOS(E_F) (states/eV/atom): 0.970
DFT formation energy (kJ/mol of atoms): -51.7

a = 5.8872 Å, b = 7.5013 Å, c = 7.5013 Å
α = 113.03°, β = 100.23°, γ = 100.23°
Closest atoms and distances in Å follow each position.
Positions (direct):
1 Er 0.5800 0.3432 0.0831  2 Rh 2.75-2.79, 1 Pt 3.04
2 Er 0.5800 0.0831 0.3432  2 Rh 2.75-2.79, 1 Pt 3.04
3 Er 0.1669 0.3634 0.3634  1 Pt 2.97, 2 Rh 3.02
4 Er 0.9872 0.2174 0.7851  1 Pt 2.87, 2 Rh 3.17-3.18
5 Er 0.9872 0.7851 0.2174  1 Pt 2.87, 2 Rh 3.17-3.18
6 Er 0.8051 0.6398 0.6398  2 Rh 3.00, 1 Pt 3.03
7 Er 0.3828 0.9252 0.6649  2 Rh 2.76-2.80, 1 Pt 2.98
8 Er 0.3828 0.6649 0.9252  2 Rh 2.76-2.80, 1 Pt 2.98
9 Pt 0.1521 0.0010 0.0010  8 Er 2.87-3.04
10 Rh 0.4879 0.6946 0.3162  6 Er 2.75-3.02
11 Rh 0.4879 0.3162 0.6946  6 Er 2.75-3.02


Record 2
ErPt2Rh2 | PBE-GGA | optimized geometry

Properties
Magnetization (μB per cell): 1.2
DOS(E_F) (states/eV/atom): 1.610
DFT formation energy (kJ/mol of atoms): -42.7

a = 3.7902 Å, b = 3.7902 Å, c = 6.8947 Å
α = 105.95°, β = 105.95°, γ = 90.00°
Closest atoms and distances in Å follow each position.
Positions (direct):
1 Er 0.0000 0.0000 0.0000  8 Pt 2.97
2 Pt 0.6004 0.6004 0.2009  1 Pt 2.55, 4 Rh 2.68
3 Pt 0.3996 0.3996 0.7991  1 Pt 2.55, 4 Rh 2.68
4 Rh 0.2500 0.7500 0.5000  4 Rh 2.68, 4 Pt 2.68
5 Rh 0.7500 0.2500 0.5000  4 Rh 2.68, 4 Pt 2.68


Record 3
Er2Pt5Rh | PBE-GGA | optimized geometry

Properties
Magnetization (μB per cell): 0.0
DOS(E_F) (states/eV/atom): 0.794
DFT formation energy (kJ/mol of atoms): -95.5

a = 4.0725 Å, b = 5.7877 Å, c = 11.5781 Å
α = 90.00°, β = 90.00°, γ = 90.00°
Closest atoms and distances in Å follow each position.
Positions (direct):
1 Er 0.5000 0.2449 0.6237  2 Rh 2.86, 10 Pt 2.87-2.92
2 Er 0.5000 0.7551 0.3763  2 Rh 2.86, 10 Pt 2.87-2.92
3 Er 0.5000 0.2551 0.1237  2 Rh 2.86, 10 Pt 2.87-2.92
4 Er 0.5000 0.7449 0.8763  2 Rh 2.86, 10 Pt 2.87-2.92
5 Pt 0.0000 0.0000 0.0000  6 Pt 2.88-2.90, 2 Rh 2.89, 4 Er 2.89
6 Pt 0.0000 0.5000 0.5000  6 Pt 2.88-2.90, 2 Rh 2.89, 4 Er 2.89
7 Pt 0.0000 0.4960 0.7505  7 Pt 2.88-2.90, 4 Er 2.89-2.90, 1 Rh 2.89
8 Pt 0.0000 0.5040 0.2495  7 Pt 2.88-2.90, 4 Er 2.89-2.90, 1 Rh 2.89
9 Pt 0.0000 0.0040 0.2505  7 Pt 2.88-2.90, 4 Er 2.89-2.90, 1 Rh 2.89
10 Pt 0.0000 0.9960 0.7495  7 Pt 2.88-2.90, 4 Er 2.89-2.90, 1 Rh 2.89
11 Pt 0.5000 0.2482 0.8759  4 Er 2.87-2.92, 6 Pt 2.88-2.90, 2 Rh 2.89
12 Pt 0.5000 0.7518 0.1241  4 Er 2.87-2.92, 6 Pt 2.88-2.90, 2 Rh 2.89
13 Pt 0.5000 0.2518 0.3759  4 Er 2.87-2.92, 6 Pt 2.88-2.90, 2 Rh 2.89
14 Pt 0.5000 0.7482 0.6241  4 Er 2.87-2.92, 6 Pt 2.88-2.90, 2 Rh 2.89
15 Rh 0.0000 0.0000 0.5000  4 Er 2.86, 8 Pt 2.89
16 Rh 0.0000 0.5000 0.0000  4 Er 2.86, 8 Pt 2.89


Record 4
ErSbPtRh | PBE-GGA | optimized geometry

Properties
Magnetization (μB per cell): 0.0
Raw formation energy (kJ/mol of formula units): -293
DOS(E_F) (states/eV/atom): 0.635

a = 4.7652 Å, b = 4.7652 Å, c = 4.7652 Å
α = 60.00°, β = 60.00°, γ = 60.00°
Closest atoms and distances in Å follow each position.
Positions (direct):
1 Sb 0.5000 0.5000 0.5000  4 Rh 2.92, 4 Pt 2.92
2 Rh 0.2500 0.2500 0.2500  4 Sb 2.92, 4 Er 2.92
3 Pt 0.7500 0.7500 0.7500  4 Er 2.92, 4 Sb 2.92
4 Er 0.0000 0.0000 0.0000  4 Pt 2.92, 4 Rh 2.92


Record 5
ErScPtRh | PBE-GGA | optimized geometry

Properties
Magnetization (μB per cell): 0.0
DOS(E_F) (states/eV/atom): 0.271
DFT formation energy (kJ/mol of atoms): -105.1
Energy above the most stable polymorph in this dataset (meV/atom): 19

a = 4.7387 Å, b = 4.7387 Å, c = 4.7387 Å
α = 60.00°, β = 60.00°, γ = 60.00°
Closest atoms and distances in Å follow each position.
Positions (direct):
1 Sc 0.5000 0.5000 0.5000  4 Pt 2.90, 4 Rh 2.90
2 Rh 0.2500 0.2500 0.2500  4 Er 2.90, 4 Sc 2.90
3 Pt 0.7500 0.7500 0.7500  4 Sc 2.90, 4 Er 2.90
4 Er 0.0000 0.0000 0.0000  4 Rh 2.90, 4 Pt 2.90


Record 6
ErScPtRh | PBE-GGA | optimized geometry

Properties
Magnetization (μB per cell): 0.0
DOS(E_F) (states/eV/atom): 0.486
DFT formation energy (kJ/mol of atoms): -107.0
Energy above the most stable polymorph in this dataset (meV/atom): 0

a = 3.3343 Å, b = 3.3343 Å, c = 6.7496 Å
α = 90.00°, β = 90.00°, γ = 90.00°
Closest atoms and distances in Å follow each position.
Positions (direct):
1 Er 0.5000 0.5000 0.1123  4 Rh 2.94, 4 Pt 2.98
2 Sc 0.5000 0.5000 0.6009  4 Rh 2.81, 4 Pt 2.86
3 Pt 0.0000 0.0000 0.8415  4 Sc 2.86, 4 Er 2.98, 1 Rh 3.16
4 Rh 0.0000 0.0000 0.3733  4 Sc 2.81, 4 Er 2.94